A plane-wave DFT calculation with PBE with a Hubbard U was carried out for crystalline NaMnPO2 at its relaxed geometry.

Properties
* energy above the most stable polymorph in this dataset: 746.3 meV per atom
* magnetic moment: 6.34 Bohr magnetons per cell

Cell lengths 4.068, 4.068, 5.066 Å; angles 90.00, 90.00, 90.00 degrees
Space group P4/mmm (No. 123)
Inequivalent atoms, fractional coordinates:
1 Na 0.000 0.000 0.000 x1
2 Mn 0.500 0.500 0.500 x1
3 P 0.000 0.000 0.500 x1
4 O 0.000 0.500 0.000 x2